# Sc4Bi2AsSe

A relaxed Sc4Bi2AsSe crystal (GGA-PBE, Alexandria via LeMat-Bulk).

Structure (POSCAR):
```
Sc4Bi2AsSe
1.0
-2.620 -1.712 -2.547
3.574 -5.992 0.350
-4.987 0.028 5.113
As Sc Bi Se
1 4 2 1
Cartesian
0.000 0.000 0.000
-2.460 -5.413 2.973
1.548 -4.469 1.411
-2.961 -1.495 4.052
-1.574 -2.262 -0.057
-0.706 -2.982 2.731
-3.804 -0.842 1.283
0.477 -3.852 -1.098
```

Values from the calculation:
- formation energy (no corrections) (eV/atom) = -1.069
- calculated density (Mg/m³) = 6.56
- D(E_F) (states/eV/cell) = 2.70
- energy (eV/atom) = -6.22